(1)
The following is a DFT calculation (PBE) of a relaxed CeTi2As crystal.

- Formation enthalpy at 0 K: -0.0315 eV/atom
- DOS(E_F): 4.980 states/eV/f.u.

Cell lengths 3.275, 3.275, 9.059 Å; angles 79.59, 79.59, 60.00 degrees
Last column: magnetic moment on the atom in μB.
Atoms (fractional coordinates):
Ti 0.896 0.896 0.311  0.31
Ti 0.104 0.104 0.689  0.31
Ce 0.000 0.000 0.000  0.24
As 0.500 0.500 0.500  -0.02


(2)
The following is a DFT calculation (PBE) of a relaxed PrDy2Y2 crystal.

- Formation enthalpy at 0 K: 0.1142 eV/atom
- DOS(E_F): 9.753 states/eV/f.u.

Cell lengths 5.822, 6.858, 10.056 Å; angles 98.67, 73.17, 64.88 degrees
Atoms (fractional coordinates):
Y 0.686 0.258 0.371
Y 0.930 0.215 0.925
Y 0.314 0.742 0.629
Y 0.070 0.785 0.075
Dy 0.110 0.235 0.545
Dy 0.528 0.707 0.238
Dy 0.890 0.765 0.455
Dy 0.472 0.293 0.762
Pr 0.703 0.748 0.847
Pr 0.297 0.252 0.153


(3)
The following is a DFT calculation (PBE) of a relaxed CrRuAu2 crystal.

- Formation enthalpy at 0 K: 0.2048 eV/atom
- DOS(E_F): 1.756 states/eV/f.u.

Cell lengths 9.584, 9.584, 9.584 Å; angles 16.58, 16.58, 16.58 degrees
Atoms (fractional coordinates):
Au 0.004 0.004 0.004
Au 0.243 0.243 0.243
Ru 0.760 0.760 0.760
Cr 0.494 0.494 0.494


(4)
The following is a DFT calculation (PBE) of a relaxed Na10B17C3 crystal.

- Formation enthalpy at 0 K: 0.2097 eV/atom
- DOS(E_F): 6.290 states/eV/f.u.

Cell lengths 13.436, 13.436, 8.698 Å; angles 90.00, 90.00, 167.95 degrees
Atoms (fractional coordinates):
B 0.873 0.127 0.250
B 0.067 0.933 0.250
B 0.131 0.869 0.750
B 0.528 0.472 0.750
B 0.338 0.662 0.750
B 0.068 0.932 0.750
B 0.273 0.727 0.750
B 0.330 0.670 0.250
B 0.478 0.522 0.250
B 0.658 0.342 0.250
B 0.734 0.266 0.750
B 0.726 0.274 0.250
B 0.266 0.734 0.250
B 0.671 0.329 0.750
B 0.936 0.064 0.250
B 0.926 0.074 0.750
B 0.465 0.535 0.750
Na 0.200 0.800 0.500
Na 0.800 0.200 0.001
Na 0.600 0.400 0.000
Na 0.400 0.600 0.002
Na 0.000 0.000 0.502
Na 0.600 0.400 0.500
Na 0.000 0.000 0.998
Na 0.800 0.200 0.499
Na 0.400 0.600 0.498
Na 0.200 0.800 0.000
C 0.128 0.872 0.250
C 0.536 0.464 0.250
C 0.867 0.133 0.750


(5)
The following is a DFT calculation (PBE) of a relaxed RbBTe2 crystal.

- Raw formation energy: -0.1297 eV/atom
- DOS(E_F): 0.000 states/eV/f.u.

Cell lengths 7.612, 7.612, 7.612 Å; angles 48.45, 48.45, 48.45 degrees
Atoms (fractional coordinates):
Te 0.899 0.899 0.899
Te 0.101 0.101 0.101
B 0.000 0.000 0.000
Rb 0.500 0.500 0.500


(6)
The following is a DFT calculation (PBE) of a relaxed CdMoSe crystal.

- Raw formation energy: 0.6305 eV/atom
- DOS(E_F): 2.118 states/eV/f.u.

Cell lengths 4.458, 4.458, 4.458 Å; angles 60.00, 60.00, 60.00 degrees
Atoms (fractional coordinates):
Mo 0.750 0.750 0.750
Se 0.000 0.000 0.000
Cd 0.500 0.500 0.500


| no. | size of the total moment (μB/f.u.) |
| --- | --- |
| 1 | 0.99 |
| 2 | 0.00 |
| 3 | 0.00 |
| 4 | 0.00 |
| 5 | 0.00 |
| 6 | 0.00 |